Record 1
## Ca2BiBr (PBE-GGA)

Data for a geometry-optimized Ca2BiBr structure.

Unit cell a=4.5737 b=4.5737 c=23.3190 alpha=90.00 beta=90.00 gamma=120.00
Closest atoms and distances in Å follow each position.
Space group R3m (No. 160, hexagonal axes)
Asymmetric unit:
Ca (0.0000, 0.0000, 0.0000) (multiplicity 3)  3 Bi 3.14, 3 Br 3.29
Ca (0.0000, 0.0000, 0.1900) (multiplicity 3)  3 Bi 3.11
Bi (0.0000, 0.0000, 0.5938) (multiplicity 3)  6 Ca 3.11-3.14
Br (0.0000, 0.0000, 0.4175) (multiplicity 3)  6 Ca 3.29-3.61

Results
Formation energy (no corrections) ... -1.17 eV per atom

***

Record 2
## Ba6HN (PBE-GGA)

Data for a geometry-optimized Ba6HN structure.

Unit cell a=7.4405 b=7.4405 c=21.1817 alpha=90.00 beta=90.00 gamma=120.00
Closest atoms and distances in Å follow each position.
Space group R-3 (No. 148, hexagonal axes)
Asymmetric unit:
Ba (0.0190, 0.6457, 0.2455) (multiplicity 18)  1 N 2.81, 1 H 3.11
H (0.0000, 0.0000, 0.0000) (multiplicity 3)  6 Ba 3.11
N (0.0000, 0.0000, 0.5000) (multiplicity 3)  6 Ba 2.81

Results
E ... -73.6 eV per cell

***

Record 3
## Np4PaS10 (PBE-GGA)

Data for a geometry-optimized Np4PaS10 structure.

Unit cell a=10.1965 b=10.1965 c=6.4505 alpha=90.00 beta=90.00 gamma=90.00
Closest atoms and distances in Å follow each position.
Space group I4/m (No. 87)
Asymmetric unit:
Np (0.0987, 0.6986, 0.0000) (multiplicity 8)  8 S 2.78-2.81
Pa (0.0000, 0.0000, 0.5000) (multiplicity 2)  8 S 2.77
S (0.0000, 0.5000, 0.2500) (multiplicity 4)  4 Np 2.78
S (0.1003, 0.1982, 0.2517) (multiplicity 16)  1 Pa 2.77, 3 Np 2.80-2.81

Results
Formation energy (no corrections) ... -1.40 eV per atom